Record 1
Entry from OQMD: a relaxed structure of HfCu2Au (PBE).

Lattice parameters (Å, degrees): 4.4701 4.4701 4.4701 60.00 60.00 60.00
Last column: nearest neighbours and their distance in Å.
Fractional coordinates of all 4 atoms:
Hf  0.0000  0.0000  0.0000  4 Au 2.74, 4 Cu 2.74
Cu  0.2500  0.2500  0.2500  4 Cu 2.74, 4 Hf 2.74
Cu  0.5000  0.5000  0.5000  4 Cu 2.74, 4 Au 2.74
Au  0.7500  0.7500  0.7500  4 Cu 2.74, 4 Hf 2.74

Values from the calculation:
Energy in eV/atom: -5.371
Energy above the most stable polymorph in this dataset in meV per atom: 0
SG: F-43m (216)
V in Å³/atom: 15.8

Record 2
Entry from OQMD: a relaxed structure of HfCu2Au2 (PBE).

Lattice parameters (Å, degrees): 6.9342 6.9342 6.9342 149.70 149.70 43.38
Last column: nearest neighbours and their distance in Å.
Fractional coordinates of all 5 atoms:
Hf  0.0000  0.0000  0.0000  8 Au 2.90
Cu  0.2500  0.7500  0.5000  4 Cu 2.56, 4 Au 2.60
Cu  0.7500  0.2500  0.5000  4 Cu 2.56, 4 Au 2.60
Au  0.3950  0.3950  0.0000  4 Cu 2.60, 1 Au 2.71, 4 Hf 2.90
Au  0.6050  0.6050  0.0000  4 Cu 2.60, 1 Au 2.71, 4 Hf 2.90

Values from the calculation:
Energy in eV/atom: -4.904
SG: I4/mmm (139)
V in Å³/atom: 16.9

Record 3
Entry from OQMD: a relaxed structure of HfCu2Au (PBE).

Lattice parameters (Å, degrees): 2.8595 2.8595 9.7470 90.00 90.00 120.00
Last column: nearest neighbours and their distance in Å.
Fractional coordinates of all 4 atoms:
Hf  0.0000  0.0000  0.0000  6 Cu 2.79, 6 Hf 2.86
Cu  0.3333  0.6667  0.2311  1 Au 2.62, 3 Hf 2.79, 6 Cu 2.86
Cu  0.3333  0.6667  0.7689  1 Au 2.62, 3 Hf 2.79, 6 Cu 2.86
Au  0.3333  0.6667  0.5000  2 Cu 2.62, 6 Au 2.86

Values from the calculation:
Energy in eV/atom: -4.974
Energy above the most stable polymorph in this dataset in meV per atom: 397
SG: P-6m2 (187)
V in Å³/atom: 17.3

Record 4
Entry from OQMD: a relaxed structure of HfCuAu2 (PBE).

Lattice parameters (Å, degrees): 4.5895 4.5895 4.5895 60.00 60.00 60.00
Last column: nearest neighbours and their distance in Å.
Fractional coordinates of all 4 atoms:
Hf  0.0000  0.0000  0.0000  4 Au 2.81, 4 Cu 2.81
Cu  0.7500  0.7500  0.7500  4 Au 2.81, 4 Hf 2.81
Au  0.2500  0.2500  0.2500  4 Au 2.81, 4 Hf 2.81
Au  0.5000  0.5000  0.5000  4 Au 2.81, 4 Cu 2.81

Values from the calculation:
Energy in eV/atom: -5.353
SG: F-43m (216)
V in Å³/atom: 17.1

Record 5
Entry from OQMD: a relaxed structure of HfCuAu2 (PBE).

Lattice parameters (Å, degrees): 4.7372 6.0498 4.7969 90.00 90.00 90.00
Last column: nearest neighbours and their distance in Å.
Fractional coordinates of all 8 atoms:
Hf  0.2500  0.2500  0.1641  8 Au 2.79-2.92, 4 Cu 2.88-3.03
Hf  0.7500  0.7500  0.8359  8 Au 2.79-2.92, 4 Cu 2.88-3.03
Cu  0.2500  0.7500  0.1766  8 Au 2.81-2.91, 4 Hf 2.88-3.03
Cu  0.7500  0.2500  0.8234  8 Au 2.81-2.91, 4 Hf 2.88-3.03
Au  0.2500  0.5058  0.6793  4 Hf 2.79-2.92, 4 Cu 2.81-2.91, 4 Au 2.93-3.09
Au  0.2500  0.9942  0.6793  4 Hf 2.79-2.92, 4 Cu 2.81-2.91, 4 Au 2.93-3.09
Au  0.7500  0.0058  0.3207  4 Hf 2.79-2.92, 4 Cu 2.81-2.91, 4 Au 2.93-3.09
Au  0.7500  0.4942  0.3207  4 Hf 2.79-2.92, 4 Cu 2.81-2.91, 4 Au 2.93-3.09

Values from the calculation:
Energy in eV/atom: -5.451
SG: Pmmn (59)
V in Å³/atom: 17.2

Record 6
Entry from OQMD: a relaxed structure of HfCu2Au (PBE).

Lattice parameters (Å, degrees): 4.4702 4.4702 4.4702 60.00 60.00 60.00
Last column: nearest neighbours and their distance in Å.
Fractional coordinates of all 4 atoms:
Hf  0.0000  0.0000  0.0000  4 Cu 2.74, 4 Au 2.74
Cu  0.5000  0.5000  0.5000  4 Cu 2.74, 4 Au 2.74
Cu  0.7500  0.7500  0.7500  4 Cu 2.74, 4 Hf 2.74
Au  0.2500  0.2500  0.2500  4 Cu 2.74, 4 Hf 2.74

Values from the calculation:
Energy in eV/atom: -5.371
Energy above the most stable polymorph in this dataset in meV per atom: 0
SG: F-43m (216)
V in Å³/atom: 15.8

Record 7
Entry from OQMD: a relaxed structure of HfCu2Au3 (PBE).

Lattice parameters (Å, degrees): 3.2927 3.2927 9.1980 90.00 90.00 90.00
Last column: nearest neighbours and their distance in Å.
Fractional coordinates of all 6 atoms:
Hf  0.0000  0.0000  0.0000  4 Cu 2.80, 5 Au 2.88
Cu  0.0000  0.0000  0.6541  8 Au 2.71-2.76
Cu  0.5000  0.5000  0.1688  4 Au 2.68, 4 Hf 2.80
Au  0.0000  0.0000  0.3133  4 Cu 2.68, 1 Hf 2.88, 4 Au 2.91
Au  0.5000  0.5000  0.5040  4 Cu 2.71, 5 Au 2.87-2.91
Au  0.5000  0.5000  0.8156  4 Cu 2.76, 1 Au 2.87, 4 Hf 2.88

Values from the calculation:
Energy in eV/atom: -4.691
SG: P4mm (99)
V in Å³/atom: 16.6

Record 8
Entry from OQMD: a relaxed structure of HfCu4Au (PBE).

Lattice parameters (Å, degrees): 4.9083 4.9083 4.9083 60.00 60.00 60.00
Last column: nearest neighbours and their distance in Å.
Fractional coordinates of all 6 atoms:
Hf  0.0000  0.0000  0.0000  12 Cu 2.88, 4 Au 3.01
Cu  0.1253  0.6249  0.6249  6 Cu 2.45-2.46
Cu  0.6249  0.1253  0.6249  6 Cu 2.45-2.46
Cu  0.6249  0.6249  0.1253  6 Cu 2.45-2.46
Cu  0.6249  0.6249  0.6249  6 Cu 2.45-2.46
Au  0.2500  0.2500  0.2500  12 Cu 2.88, 4 Hf 3.01

Values from the calculation:
Energy in eV/atom: -4.941
SG: F-43m (216)
V in Å³/atom: 13.9

Record 9
Entry from OQMD: a relaxed structure of Hf2ScZn3CuAu2 (PBE).

Lattice parameters (Å, degrees): 3.4599 7.2418 7.2418 119.88 90.00 90.00
Last column: nearest neighbours and their distance in Å.
Fractional coordinates of all 9 atoms:
Hf  0.0000  0.1964  0.8036  4 Au 2.82, 1 Cu 2.82, 6 Zn 3.04-3.08
Hf  0.0000  0.8036  0.1964  4 Au 2.82, 1 Cu 2.82, 6 Zn 3.04-3.08
Sc  0.0000  0.5888  0.5888  4 Au 2.83, 1 Cu 2.89, 6 Zn 3.03-3.07
Zn  0.5000  0.1976  0.4515  2 Cu 2.54, 2 Au 2.73-2.75
Zn  0.5000  0.4515  0.1976  2 Cu 2.54, 2 Au 2.73-2.75
Zn  0.5000  0.9387  0.9387  2 Cu 2.52, 2 Au 2.74
Cu  0.0000  0.1906  0.1906  6 Zn 2.52-2.54
Au  0.5000  0.5296  0.8650  3 Zn 2.73-2.75, 4 Hf 2.82, 2 Sc 2.83
Au  0.5000  0.8650  0.5296  3 Zn 2.73-2.75, 4 Hf 2.82, 2 Sc 2.83

Values from the calculation:
Energy in eV/atom: -4.888
SG: Amm2 (38)
V in Å³/atom: 17.5

Record 10
Entry from OQMD: a relaxed structure of HfSc2Zn3CuAu2 (PBE).

Lattice parameters (Å, degrees): 3.5506 7.1936 7.1936 120.25 90.00 90.00
Last column: nearest neighbours and their distance in Å.
Fractional coordinates of all 9 atoms:
Hf  0.0000  0.0000  0.0000  4 Au 2.82, 1 Cu 2.83, 6 Zn 3.08-3.09
Sc  0.0000  0.4008  0.8001  4 Au 2.83, 1 Cu 2.89, 6 Zn 3.07-3.08
Sc  0.0000  0.8001  0.4008  4 Au 2.83, 1 Cu 2.89, 6 Zn 3.07-3.08
Zn  0.5000  0.1512  0.4020  2 Cu 2.51, 2 Au 2.73-2.76
Zn  0.5000  0.4020  0.1512  2 Cu 2.51, 2 Au 2.73-2.76
Zn  0.5000  0.6484  0.6484  2 Cu 2.54, 2 Au 2.75
Cu  0.0000  0.3954  0.3954  6 Zn 2.51-2.54
Au  0.5000  0.0679  0.7362  3 Zn 2.73-2.76, 2 Hf 2.82, 4 Sc 2.83
Au  0.5000  0.7362  0.0679  3 Zn 2.73-2.76, 2 Hf 2.82, 4 Sc 2.83

Values from the calculation:
Energy in eV/atom: -4.548
SG: Amm2 (38)
V in Å³/atom: 17.6

Record 11
Entry from OQMD: a relaxed structure of HfTlCuAu (PBE).

Lattice parameters (Å, degrees): 4.7252 4.7252 4.7252 60.00 60.00 60.00
Last column: nearest neighbours and their distance in Å.
Fractional coordinates of all 4 atoms:
Hf  0.0000  0.0000  0.0000  4 Cu 2.89, 4 Au 2.89
Tl  0.5000  0.5000  0.5000  4 Cu 2.89, 4 Au 2.89
Cu  0.7500  0.7500  0.7500  4 Tl 2.89, 4 Hf 2.89
Au  0.2500  0.2500  0.2500  4 Hf 2.89, 4 Tl 2.89

Values from the calculation:
Energy in eV/atom: -4.853
Energy above the most stable polymorph in this dataset in meV per atom: 0
SG: F-43m (216)
V in Å³/atom: 18.7

Record 12
Entry from OQMD: a relaxed structure of HfTlCuAu (PBE).

Lattice parameters (Å, degrees): 4.7342 4.7342 4.7342 60.00 60.00 60.00
Last column: nearest neighbours and their distance in Å.
Fractional coordinates of all 4 atoms:
Hf  0.0000  0.0000  0.0000  4 Tl 2.90, 4 Au 2.90
Tl  0.2500  0.2500  0.2500  4 Cu 2.90, 4 Hf 2.90
Cu  0.5000  0.5000  0.5000  4 Tl 2.90, 4 Au 2.90
Au  0.7500  0.7500  0.7500  4 Cu 2.90, 4 Hf 2.90

Values from the calculation:
Energy in eV/atom: -4.832
Energy above the most stable polymorph in this dataset in meV per atom: 21
SG: F-43m (216)
V in Å³/atom: 18.8

Record 13
Entry from OQMD: a relaxed structure of TmHf2Zn3CuAu2 (PBE).

Lattice parameters (Å, degrees): 3.6836 7.1509 7.1509 120.35 90.00 90.00
Last column: nearest neighbours and their distance in Å.
Fractional coordinates of all 9 atoms:
Tm  0.0000  0.0000  0.0000  4 Au 2.90, 1 Cu 2.92, 6 Zn 3.11-3.12
Hf  0.0000  0.4006  0.8005  1 Cu 2.82, 4 Au 2.83, 6 Zn 3.08-3.15
Hf  0.0000  0.8005  0.4006  1 Cu 2.82, 4 Au 2.83, 6 Zn 3.08-3.15
Zn  0.5000  0.1592  0.4038  2 Cu 2.56, 2 Au 2.70-2.79
Zn  0.5000  0.4038  0.1592  2 Cu 2.56, 2 Au 2.70-2.79
Zn  0.5000  0.6462  0.6462  2 Cu 2.49, 2 Au 2.78
Cu  0.0000  0.4110  0.4110  6 Zn 2.49-2.56
Au  0.5000  0.0694  0.7274  3 Zn 2.70-2.79, 4 Hf 2.83, 2 Tm 2.90
Au  0.5000  0.7274  0.0694  3 Zn 2.70-2.79, 4 Hf 2.83, 2 Tm 2.90

Values from the calculation:
Energy in eV/atom: -4.684
SG: Amm2 (38)
V in Å³/atom: 18.1